BaSe3S | PBE | optimized geometry

Output
SG = No. 221
Energy relative to the lowest polymorph listed for this composition = 0 meV per atom
VASP energy = -19.47 eV per formula unit

Cell lengths 5.078, 5.078, 5.078 Å; angles 90.00, 90.00, 90.00 degrees
Fractional coordinates of all 5 atoms:
Ba: 0.000 0.000 0.000
Se: 0.000 0.500 0.500
Se: 0.500 0.000 0.500
Se: 0.500 0.500 0.000
S: 0.500 0.500 0.500